# CaAl2As PBE optimized geometry
data_CaAl2As
_chemical_formula_sum 'Ca1 Al2 As1'
_cell_length_a 4.1660
_cell_length_b 4.1660
_cell_length_c 4.7303
_cell_angle_alpha 90.00
_cell_angle_beta 90.00
_cell_angle_gamma 90.00
_symmetry_space_group_name_H-M 'P 4/m m m'
_symmetry_Int_Tables_number 123
_symmetry_space_group_name_Hall '-P 4 2'
loop_
_atom_site_label
_atom_site_type_symbol
_atom_site_fract_x
_atom_site_fract_y
_atom_site_fract_z
_atom_site_occupancy
Ca1 Ca 0.0000 0.0000 0.0000 1
Al1 Al 0.0000 0.5000 0.5000 1
As1 As 0.5000 0.5000 0.0000 1
# Final energy (eV per atom): -3.82
# Formation energy (eV per formula unit): -1.1
# N(E_F) (states/eV/cell): 2.63


# TiCuNi2 PBE optimized geometry
data_TiCuNi2
_chemical_formula_sum 'Ti4 Cu4 Ni8'
_cell_length_a 6.4607
_cell_length_b 6.4607
_cell_length_c 5.1055
_cell_angle_alpha 90.00
_cell_angle_beta 90.00
_cell_angle_gamma 90.00
_symmetry_space_group_name_H-M 'I -4 2 d'
_symmetry_Int_Tables_number 122
_symmetry_space_group_name_Hall 'I -4 2bw'
loop_
_atom_site_label
_atom_site_type_symbol
_atom_site_fract_x
_atom_site_fract_y
_atom_site_fract_z
_atom_site_occupancy
Ti1 Ti 0.0000 0.0000 0.0000 1
Cu1 Cu 0.0000 0.0000 0.5000 1
Ni1 Ni 0.2471 0.2500 0.1250 1
# Final energy (eV per atom): -5.77
# Formation energy (eV per formula unit): 0.5
# N(E_F) (states/eV/cell): 10.91


# AsPbSe2Br PBE optimized geometry
data_AsPbSe2Br
_chemical_formula_sum 'As1 Pb1 Se2 Br1'
_cell_length_a 5.3083
_cell_length_b 5.3083
_cell_length_c 5.3682
_cell_angle_alpha 90.00
_cell_angle_beta 90.00
_cell_angle_gamma 90.00
_symmetry_space_group_name_H-M 'P 4/m m m'
_symmetry_Int_Tables_number 123
_symmetry_space_group_name_Hall '-P 4 2'
loop_
_atom_site_label
_atom_site_type_symbol
_atom_site_fract_x
_atom_site_fract_y
_atom_site_fract_z
_atom_site_occupancy
As1 As 0.0000 0.0000 0.0000 1
Pb1 Pb 0.5000 0.5000 0.5000 1
Se1 Se 0.0000 0.5000 0.0000 1
Br1 Br 0.0000 0.0000 0.5000 1
# Final energy (eV per atom): -3.42
# Formation energy from raw total energies (eV/atom): -0.019
# N(E_F) (states/eV/cell): 2.00


# BeCu2Ru PBE optimized geometry
data_BeCu2Ru
_chemical_formula_sum 'Be1 Cu2 Ru1'
_cell_length_a 2.5346
_cell_length_b 4.0127
_cell_length_c 4.7320
_cell_angle_alpha 90.00
_cell_angle_beta 103.99
_cell_angle_gamma 90.00
_symmetry_space_group_name_H-M 'P 1 2/m 1'
_symmetry_Int_Tables_number 10
loop_
_symmetry_equiv_pos_as_xyz
'x,y,z'
'-x,-y,-z'
'-x,y,-z'
'x,-y,z'
loop_
_atom_site_label
_atom_site_type_symbol
_atom_site_fract_x
_atom_site_fract_y
_atom_site_fract_z
_atom_site_occupancy
Be1 Be 0.0000 0.0000 0.0000 1
Cu1 Cu 0.1596 0.5000 0.7666 1
Ru1 Ru 0.5000 0.0000 0.5000 1
# Final energy (eV per atom): -5.19
# Formation energy (eV per formula unit): 0.4
# N(E_F) (states/eV/cell): 2.66